NpMnPbO5: relaxed, PBE with a Hubbard U.

E, eV per cell: -131.84
Spin magnetization, μB per atom: 0.75
Crystal system: monoclinic
SG: C2/c, No. 15

abc: 6.160 6.160 8.176
angles: 105.45 105.45 106.36
Sites, in units of the cell vectors:
Np1 0.000 0.500 0.000
Np2 0.500 0.000 0.500
Mn1 0.057 0.943 0.750
Mn2 0.943 0.057 0.250
Pb1 0.439 0.561 0.750
Pb2 0.561 0.439 0.250
O1 0.140 0.751 0.909
O2 0.206 0.307 0.906
O3 0.249 0.860 0.591
O4 0.307 0.206 0.406
O5 0.319 0.681 0.250
O6 0.681 0.319 0.750
O7 0.693 0.794 0.594
O8 0.751 0.140 0.409
O9 0.794 0.693 0.094
O10 0.860 0.249 0.091